# 1
Computed, not measured: an optimized crystal structure of HfBe3Mo at the PBE-GGA level of DFT.

Properties
space group = Pm-3m (221)
theoretical density = 6827 kg/m3
V = 14.7 A^3/atom
energy above the most stable polymorph in this dataset = 0 meV/atom
ΔE_f = 0.66 eV/atom

Geometry as POSCAR:
```
HfBe3Mo
1.0
4.1855 0.0000 0.0000
0.0000 4.1855 0.0000
0.0000 0.0000 4.1855
Hf Be Mo
1 3 1
direct
0.0000 0.0000 0.0000 Hf
0.0000 0.5000 0.5000 Be
0.5000 0.0000 0.5000 Be
0.5000 0.5000 0.0000 Be
0.5000 0.5000 0.5000 Mo
```

***

# 2
Computed, not measured: an optimized crystal structure of AcH10Rh3 at the PBE-GGA level of DFT.

Properties
space group = Fm-3m (225)
theoretical density = 8064 kg/m3
V = 8.0 A^3/atom
calculated total energy = -123.847 eV per cell

Geometry as POSCAR:
```
AcH10Rh3
1.0
0.0000 4.8259 4.8259
4.8259 0.0000 4.8259
4.8259 4.8259 0.0000
Ac H Rh
2 20 6
direct
0.2500 0.2500 0.2500 Ac
0.7500 0.7500 0.7500 Ac
0.0000 0.0000 0.3126 H
0.0000 0.0000 0.6874 H
0.0000 0.3126 0.0000 H
0.0000 0.3126 0.6874 H
0.0000 0.6874 0.0000 H
0.0000 0.6874 0.3126 H
0.2006 0.5998 0.5998 H
0.3126 0.0000 0.0000 H
0.3126 0.0000 0.6874 H
0.3126 0.6874 0.0000 H
0.4002 0.4002 0.4002 H
0.4002 0.4002 0.7994 H
0.4002 0.7994 0.4002 H
0.5998 0.2006 0.5998 H
0.5998 0.5998 0.2006 H
0.5998 0.5998 0.5998 H
0.6874 0.0000 0.0000 H
0.6874 0.0000 0.3126 H
0.6874 0.3126 0.0000 H
0.7994 0.4002 0.4002 H
0.2643 0.2643 0.7357 Rh
0.2643 0.7357 0.2643 Rh
0.2643 0.7357 0.7357 Rh
0.7357 0.2643 0.2643 Rh
0.7357 0.2643 0.7357 Rh
0.7357 0.7357 0.2643 Rh
```